# 1
Below is Na2GaNi2 after structural relaxation, with properties calculated at the PBE level.

Computed properties:
V = 17.8 Å³ per atom
Density of states at the Fermi level = 1.7 states/eV/f.u.
Electronic total energy = -33.89 eV/cell

Lattice parameters (Å, degrees): 6.0095 6.0095 4.9297 90.00 90.00 90.00
Element x y z (fractional)
Na (0.1765, 0.3235, 0.0000)
Na (0.3235, 0.8235, 0.0000)
Na (0.6765, 0.1765, 0.0000)
Na (0.8235, 0.6765, 0.0000)
Ga (0.0000, 0.0000, 0.5000)
Ga (0.5000, 0.5000, 0.5000)
Ni (0.1355, 0.6355, 0.5000)
Ni (0.3645, 0.1355, 0.5000)
Ni (0.6355, 0.8645, 0.5000)
Ni (0.8645, 0.3645, 0.5000)

# 2
Below is NaGa3Ni after structural relaxation, with properties calculated at the PBE level.

Computed properties:
V = 20.0 Å³ per atom
Density of states at the Fermi level = 2.6 states/eV/f.u.
Offset from the most stable computed form = 38 meV per atom
Electronic total energy = -16.91 eV/cell

Lattice parameters (Å, degrees): 4.6401 4.6401 4.6401 90.00 90.00 90.00
Element x y z (fractional)
Na (0.0000, 0.0000, 0.0000)
Ga (0.0000, 0.5000, 0.5000)
Ga (0.5000, 0.0000, 0.5000)
Ga (0.5000, 0.5000, 0.0000)
Ni (0.5000, 0.5000, 0.5000)

# 3
Below is NaGaNi2 after structural relaxation, with properties calculated at the PBE level.

Computed properties:
V = 16.0 Å³ per atom
Density of states at the Fermi level = 1.7 states/eV/f.u.
Electronic total energy = -29.07 eV/cell

Lattice parameters (Å, degrees): 5.5722 5.5722 5.5722 103.41 103.41 122.43
Element x y z (fractional)
Na (0.0000, 0.0000, 0.0000)
Na (0.7500, 0.2500, 0.5000)
Ga (0.2500, 0.7500, 0.5000)
Ga (0.5000, 0.5000, 0.0000)
Ni (0.1707, 0.6250, 0.0457)
Ni (0.3750, 0.4207, 0.5457)
Ni (0.5793, 0.1250, 0.9543)
Ni (0.8750, 0.8293, 0.4543)

# 4
Below is NaGa2Ni2 after structural relaxation, with properties calculated at the PBE level.

Computed properties:
V = 14.3 Å³ per atom
Density of states at the Fermi level = 1.9 states/eV/f.u.
Offset from the most stable computed form = 0 meV per atom
Electronic total energy = -40.42 eV/cell

Lattice parameters (Å, degrees): 7.3482 7.3482 2.6517 90.00 90.00 90.00
Element x y z (fractional)
Na (0.0000, 0.0000, 0.0000)
Na (0.5000, 0.5000, 0.0000)
Ga (0.1591, 0.3409, 0.5000)
Ga (0.3409, 0.8409, 0.5000)
Ga (0.6591, 0.1591, 0.5000)
Ga (0.8409, 0.6591, 0.5000)
Ni (0.1352, 0.6352, 0.0000)
Ni (0.3648, 0.1352, 0.0000)
Ni (0.6352, 0.8648, 0.0000)
Ni (0.8648, 0.3648, 0.0000)